Model a:
DFT (PBE) results for a relaxed structure of MoIrRh3.

Cell lengths 4.587, 4.587, 4.587 Å; angles 90.00, 90.00, 90.00 degrees
Element x y z (fractional)
Mo  0.000  0.000  0.000
Ir  0.500  0.500  0.500
Rh  0.000  0.000  0.500
Rh  0.000  0.500  0.000
Rh  0.500  0.000  0.000

=====

Model b:
DFT (PBE) results for a relaxed structure of MoIrRh3.

Cell lengths 4.437, 5.481, 6.525 Å; angles 90.00, 109.86, 90.00 degrees
Element x y z (fractional)
Mo  0.189  0.250  0.379
Mo  0.811  0.750  0.621
Ir  0.000  0.000  0.000
Ir  0.000  0.500  0.000
Rh  0.186  0.750  0.372
Rh  0.380  0.000  0.761
Rh  0.380  0.500  0.761
Rh  0.620  0.000  0.239
Rh  0.620  0.500  0.239
Rh  0.814  0.250  0.628

=====

So which one is most stable? That would be model b, about 1650 meV per atom below the next structure.

=====

Model a:
DFT (PBE) results for a relaxed structure of MoIrRh3.

Cell lengths 5.115, 5.115, 5.115 Å; angles 62.06, 62.06, 62.06 degrees
Element x y z (fractional)
Mo  0.000  0.000  0.000
Ir  0.500  0.500  0.500
Rh  0.000  0.500  0.500
Rh  0.500  0.000  0.500
Rh  0.500  0.500  0.000

=====

Model b:
DFT (PBE) results for a relaxed structure of MoIrRh3.

Cell lengths 4.692, 4.692, 4.692 Å; angles 90.00, 90.00, 90.00 degrees
Element x y z (fractional)
Mo  0.000  0.000  0.000
Ir  0.500  0.500  0.500
Rh  0.000  0.500  0.500
Rh  0.500  0.000  0.500
Rh  0.500  0.500  0.000

=====

So which one is most stable? That would be model a, about 602 meV per atom below the next structure.

=====

Model a:
DFT (PBE) results for a relaxed structure of Mo2IrRh2.

Cell lengths 6.640, 6.640, 6.640 Å; angles 148.04, 148.04, 45.83 degrees
Element x y z (fractional)
Mo  0.096  0.096  0.000
Mo  0.904  0.904  0.000
Ir  0.500  0.500  0.000
Rh  0.250  0.750  0.500
Rh  0.750  0.250  0.500

=====

Model b:
DFT (PBE) results for a relaxed structure of Mo2IrRh2.

Cell lengths 9.994, 9.994, 2.786 Å; angles 90.00, 90.00, 164.10 degrees
Element x y z (fractional)
Mo  0.099  0.901  0.000
Mo  0.901  0.099  0.000
Ir  0.500  0.500  0.500
Rh  0.309  0.691  0.500
Rh  0.691  0.309  0.500

=====

Model c:
DFT (PBE) results for a relaxed structure of Mo2IrRh2.

Cell lengths 7.354, 7.354, 2.832 Å; angles 90.00, 90.00, 90.00 degrees
Element x y z (fractional)
Mo  0.174  0.326  0.000
Mo  0.326  0.826  0.000
Mo  0.674  0.174  0.000
Mo  0.826  0.674  0.000
Ir  0.000  0.000  0.500
Ir  0.500  0.500  0.500
Rh  0.125  0.625  0.500
Rh  0.375  0.125  0.500
Rh  0.625  0.875  0.500
Rh  0.875  0.375  0.500

=====

So which one is most stable? That would be model b, about 188 meV per atom below the next structure.